Run i
Compound: Tb3Nd5Dy
Source: the Alexandria database
Functional: PBE
Structure: optimized geometry

Structure (CIF):
```
data_Tb3Nd5Dy
_space_group_name_H-M_alt 'C 1 2/c 1'
_space_group_IT_number 15
_space_group_name_Hall '-C 2yc'
_cell_length_a 20.238
_cell_length_b 6.295
_cell_length_c 11.776
_cell_angle_alpha 90.00
_cell_angle_beta 122.91
_cell_angle_gamma 90.00
loop_
_atom_site_label
_atom_site_type_symbol
_atom_site_fract_x
_atom_site_fract_y
_atom_site_fract_z
Tb1 Tb 0.000 0.000 0.000
Tb2 Tb 0.177 0.220 0.028
Nd1 Nd 0.000 0.408 0.250
Nd2 Nd 0.138 0.330 0.656
Nd3 Nd 0.180 0.179 0.332
Dy1 Dy 0.000 0.103 0.750
```

Run ii
Compound: Tb3Nd5Dy
Source: the Alexandria database
Functional: PBE
Structure: optimized geometry

Structure (CIF):
```
data_Tb3Nd5Dy
_space_group_name_H-M_alt 'C 1 2/m 1'
_space_group_IT_number 12
_space_group_name_Hall '-C 2y'
_cell_length_a 15.329
_cell_length_b 11.752
_cell_length_c 9.901
_cell_angle_alpha 90.00
_cell_angle_beta 129.60
_cell_angle_gamma 90.00
loop_
_atom_site_label
_atom_site_type_symbol
_atom_site_fract_x
_atom_site_fract_y
_atom_site_fract_z
Tb1 Tb 0.000 0.000 0.000
Tb2 Tb 0.000 0.500 0.500
Tb3 Tb 0.007 0.000 0.323
Tb4 Tb 0.014 0.500 0.851
Nd1 Nd 0.000 0.247 0.500
Nd2 Nd 0.147 0.248 0.237
Nd3 Nd 0.226 0.500 0.550
Nd4 Nd 0.228 0.000 0.735
Dy1 Dy 0.250 0.000 0.092
```

Most stable: run i

Run i
Compound: Tb2Nd2Dy
Source: the Alexandria database
Functional: PBE
Structure: optimized geometry

Structure (CIF):
```
data_Tb2Nd2Dy
_space_group_name_H-M_alt 'C 1 2/c 1'
_space_group_IT_number 15
_space_group_name_Hall '-C 2yc'
_cell_length_a 8.654
_cell_length_b 13.213
_cell_length_c 6.400
_cell_angle_alpha 90.00
_cell_angle_beta 108.50
_cell_angle_gamma 90.00
loop_
_atom_site_label
_atom_site_type_symbol
_atom_site_fract_x
_atom_site_fract_y
_atom_site_fract_z
Tb1 Tb 0.000 0.182 0.250
Tb2 Tb 0.000 0.304 0.750
Nd1 Nd 0.177 0.062 0.915
Dy1 Dy 0.000 0.434 0.250
```

Run ii
Compound: Tb2Nd2Dy
Source: the Alexandria database
Functional: PBE
Structure: optimized geometry

Structure (CIF):
```
data_Tb2Nd2Dy
_space_group_name_H-M_alt 'C 1 2/c 1'
_space_group_IT_number 15
_space_group_name_Hall '-C 2yc'
_cell_length_a 15.937
_cell_length_b 6.346
_cell_length_c 6.842
_cell_angle_alpha 90.00
_cell_angle_beta 104.20
_cell_angle_gamma 90.00
loop_
_atom_site_label
_atom_site_type_symbol
_atom_site_fract_x
_atom_site_fract_y
_atom_site_fract_z
Tb1 Tb 0.098 0.083 0.451
Nd1 Nd 0.199 0.414 0.151
Dy1 Dy 0.000 0.416 0.750
```

Most stable: run ii

Run i
Compound: Tb8Nd6Dy
Source: the Alexandria database
Functional: PBE
Structure: optimized geometry

Structure (CIF):
```
data_Tb8Nd6Dy
_space_group_name_H-M_alt 'P -3'
_space_group_IT_number 147
_space_group_name_Hall '-P 3'
_cell_length_a 9.4312
_cell_length_b 9.4312
_cell_length_c 6.5781
_cell_angle_alpha 90.00
_cell_angle_beta 90.00
_cell_angle_gamma 120.00
loop_
_atom_site_label
_atom_site_type_symbol
_atom_site_fract_x
_atom_site_fract_y
_atom_site_fract_z
Tb1 Tb 0.0924 0.6554 0.3424
Tb2 Tb 0.3333 0.6667 0.8816
Nd1 Nd 0.0326 0.7457 0.8353
Dy1 Dy 0.0000 0.0000 0.5000
```

Run ii
Compound: Tb8Nd6Dy
Source: the Alexandria database
Functional: PBE
Structure: optimized geometry

Structure (CIF):
```
data_Tb8Nd6Dy
_space_group_name_H-M_alt 'R -3'
_space_group_IT_number 148
_space_group_name_Hall '-R 3'
_cell_length_a 9.1613
_cell_length_b 9.1613
_cell_length_c 20.9018
_cell_angle_alpha 90.00
_cell_angle_beta 90.00
_cell_angle_gamma 120.00
loop_
_atom_site_label
_atom_site_type_symbol
_atom_site_fract_x
_atom_site_fract_y
_atom_site_fract_z
Tb1 Tb 0.0000 0.0000 0.0769
Tb2 Tb 0.0808 0.5555 0.3070
Nd1 Nd 0.0601 0.2479 0.2097
Dy1 Dy 0.0000 0.0000 0.5000
```

Most stable: run ii

Run i
Compound: Tb6Nd12Dy
Source: the Alexandria database
Functional: PBE
Structure: optimized geometry

Structure (CIF):
```
data_Tb6Nd12Dy
_space_group_name_H-M_alt 'R -3'
_space_group_IT_number 148
_space_group_name_Hall '-R 3'
_cell_length_a 12.1965
_cell_length_b 12.1965
_cell_length_c 15.3399
_cell_angle_alpha 90.00
_cell_angle_beta 90.00
_cell_angle_gamma 120.00
loop_
_atom_site_label
_atom_site_type_symbol
_atom_site_fract_x
_atom_site_fract_y
_atom_site_fract_z
Tb1 Tb 0.0155 0.5885 0.1866
Nd1 Nd 0.0030 0.1736 0.6912
Nd2 Nd 0.0471 0.1971 0.9164
Dy1 Dy 0.0000 0.0000 0.5000
```

Run ii
Compound: Tb6Nd12Dy
Source: the Alexandria database
Functional: PBE
Structure: optimized geometry

Structure (CIF):
```
data_Tb6Nd12Dy
_space_group_name_H-M_alt 'R -3'
_space_group_IT_number 148
_space_group_name_Hall '-R 3'
_cell_length_a 14.8968
_cell_length_b 14.8968
_cell_length_c 10.4988
_cell_angle_alpha 90.00
_cell_angle_beta 90.00
_cell_angle_gamma 120.00
loop_
_atom_site_label
_atom_site_type_symbol
_atom_site_fract_x
_atom_site_fract_y
_atom_site_fract_z
Tb1 Tb 0.0494 0.2107 0.2589
Nd1 Nd 0.0520 0.2530 0.5780
Nd2 Nd 0.0650 0.2280 0.9200
Dy1 Dy 0.0000 0.0000 0.5000
```

Most stable: run i

Run i
Compound: Tb3Nd4Dy8
Source: the Alexandria database
Functional: PBE
Structure: optimized geometry

Structure (CIF):
```
data_Tb3Nd4Dy8
_space_group_name_H-M_alt 'R -3 m'
_space_group_IT_number 166
_space_group_name_Hall '-R 3 2"'
_cell_length_a 6.9755
_cell_length_b 6.9755
_cell_length_c 35.5878
_cell_angle_alpha 90.00
_cell_angle_beta 90.00
_cell_angle_gamma 120.00
loop_
_atom_site_label
_atom_site_type_symbol
_atom_site_fract_x
_atom_site_fract_y
_atom_site_fract_z
Tb1 Tb 0.0000 0.5000 0.0000
Nd1 Nd 0.0000 0.0000 0.0000
Nd2 Nd 0.0000 0.0000 0.1634
Nd3 Nd 0.0000 0.0000 0.5000
Dy1 Dy 0.0000 0.0000 0.2550
Dy2 Dy 0.0016 0.5008 0.2511
```

Run ii
Compound: Tb3Nd4Dy8
Source: the Alexandria database
Functional: PBE
Structure: optimized geometry

Structure (CIF):
```
data_Tb3Nd4Dy8
_space_group_name_H-M_alt 'C 1 2/m 1'
_space_group_IT_number 12
_space_group_name_Hall '-C 2y'
_cell_length_a 13.456
_cell_length_b 12.840
_cell_length_c 6.783
_cell_angle_alpha 90.00
_cell_angle_beta 120.11
_cell_angle_gamma 90.00
loop_
_atom_site_label
_atom_site_type_symbol
_atom_site_fract_x
_atom_site_fract_y
_atom_site_fract_z
Tb1 Tb 0.000 0.000 0.000
Tb2 Tb 0.250 0.250 0.500
Nd1 Nd 0.000 0.500 0.000
Nd2 Nd 0.000 0.500 0.500
Nd3 Nd 0.250 0.250 0.000
Dy1 Dy 0.000 0.139 0.500
Dy2 Dy 0.000 0.244 0.000
Dy3 Dy 0.229 0.000 0.962
Dy4 Dy 0.233 0.000 0.488
```

Most stable: run i

Run i
Compound: Tb5Nd2Dy3
Source: the Alexandria database
Functional: PBE
Structure: optimized geometry

Structure (CIF):
```
data_Tb5Nd2Dy3
_space_group_name_H-M_alt 'I b a m'
_space_group_IT_number 72
_space_group_name_Hall '-I 2 2c'
_cell_length_a 9.394
_cell_length_b 21.748
_cell_length_c 6.824
_cell_angle_alpha 90.00
_cell_angle_beta 90.00
_cell_angle_gamma 90.00
loop_
_atom_site_label
_atom_site_type_symbol
_atom_site_fract_x
_atom_site_fract_y
_atom_site_fract_z
Tb1 Tb 0.000 0.000 0.250
Tb2 Tb 0.000 0.249 0.250
Tb3 Tb 0.090 0.125 0.000
Nd1 Nd 0.102 0.375 0.500
Dy1 Dy 0.000 0.500 0.250
Dy2 Dy 0.250 0.125 0.500
```

Run ii
Compound: Tb5Nd2Dy3
Source: the Alexandria database
Functional: PBE
Structure: optimized geometry

Structure (CIF):
```
data_Tb5Nd2Dy3
_space_group_name_H-M_alt 'C 1 2/c 1'
_space_group_IT_number 15
_space_group_name_Hall '-C 2yc'
_cell_length_a 10.670
_cell_length_b 16.031
_cell_length_c 9.420
_cell_angle_alpha 90.00
_cell_angle_beta 124.27
_cell_angle_gamma 90.00
loop_
_atom_site_label
_atom_site_type_symbol
_atom_site_fract_x
_atom_site_fract_y
_atom_site_fract_z
Tb1 Tb 0.000 0.029 0.250
Tb2 Tb 0.000 0.225 0.250
Tb3 Tb 0.000 0.269 0.750
Tb4 Tb 0.230 0.119 0.714
Nd1 Nd 0.140 0.373 0.547
Dy1 Dy 0.000 0.478 0.750
Dy2 Dy 0.158 0.121 0.048
```

Most stable: run ii

Run i
Compound: Tb4Nd3Dy
Source: the Alexandria database
Functional: PBE
Structure: optimized geometry

Structure (CIF):
```
data_Tb4Nd3Dy
_space_group_name_H-M_alt 'C 1 2/m 1'
_space_group_IT_number 12
_space_group_name_Hall '-C 2y'
_cell_length_a 23.661
_cell_length_b 3.487
_cell_length_c 6.810
_cell_angle_alpha 90.00
_cell_angle_beta 106.67
_cell_angle_gamma 90.00
loop_
_atom_site_label
_atom_site_type_symbol
_atom_site_fract_x
_atom_site_fract_y
_atom_site_fract_z
Tb1 Tb 0.125 0.000 0.384
Tb2 Tb 0.241 0.500 0.734
Nd1 Nd 0.000 0.000 0.000
Nd2 Nd 0.126 0.000 0.869
Dy1 Dy 0.000 0.500 0.500
```

Run ii
Compound: Tb4Nd3Dy
Source: the Alexandria database
Functional: PBE
Structure: optimized geometry

Structure (CIF):
```
data_Tb4Nd3Dy
_space_group_name_H-M_alt 'P m n 21'
_space_group_IT_number 31
_space_group_name_Hall 'P 2ac -2'
_cell_length_a 11.561
_cell_length_b 7.332
_cell_length_c 6.324
_cell_angle_alpha 90.00
_cell_angle_beta 90.00
_cell_angle_gamma 90.00
loop_
_atom_site_label
_atom_site_type_symbol
_atom_site_fract_x
_atom_site_fract_y
_atom_site_fract_z
Tb1 Tb 0.000 0.123 0.000
Tb2 Tb 0.000 0.877 0.500
Tb3 Tb 0.248 0.123 0.333
Nd1 Nd 0.000 0.627 0.999
Nd2 Nd 0.250 0.374 0.833
Dy1 Dy 0.000 0.371 0.499
```

Most stable: run ii

Run i
Compound: Tb5Nd2Dy
Source: the Alexandria database
Functional: PBE
Structure: optimized geometry

Structure (CIF):
```
data_Tb5Nd2Dy
_space_group_name_H-M_alt 'P b a m'
_space_group_IT_number 55
_space_group_name_Hall '-P 2 2ab'
_cell_length_a 7.177
_cell_length_b 14.356
_cell_length_c 5.068
_cell_angle_alpha 90.00
_cell_angle_beta 90.00
_cell_angle_gamma 90.00
loop_
_atom_site_label
_atom_site_type_symbol
_atom_site_fract_x
_atom_site_fract_y
_atom_site_fract_z
Tb1 Tb 0.000 0.000 0.000
Tb2 Tb 0.001 0.250 0.000
Tb3 Tb 0.249 0.875 0.500
Nd1 Nd 0.249 0.625 0.500
Dy1 Dy 0.000 0.500 0.000
```

Run ii
Compound: Tb5Nd2Dy
Source: the Alexandria database
Functional: PBE
Structure: optimized geometry

Structure (CIF):
```
data_Tb5Nd2Dy
_space_group_name_H-M_alt 'P -1'
_space_group_IT_number 2
_space_group_name_Hall '-P 1'
_cell_length_a 6.131
_cell_length_b 9.055
_cell_length_c 10.413
_cell_angle_alpha 107.01
_cell_angle_beta 99.69
_cell_angle_gamma 98.80
loop_
_atom_site_label
_atom_site_type_symbol
_atom_site_fract_x
_atom_site_fract_y
_atom_site_fract_z
Tb1 Tb 0.035 0.035 0.174
Tb2 Tb 0.093 0.663 0.951
Tb3 Tb 0.199 0.371 0.473
Tb4 Tb 0.343 0.304 0.857
Tb5 Tb 0.454 0.924 0.639
Nd1 Nd 0.205 0.684 0.308
Nd2 Nd 0.485 0.358 0.216
Dy1 Dy 0.000 0.000 0.500
Dy2 Dy 0.500 0.000 0.000
```

Most stable: run i

Run i
Compound: Tb2Nd7Dy3
Source: the Alexandria database
Functional: PBE
Structure: optimized geometry

Structure (CIF):
```
data_Tb2Nd7Dy3
_space_group_name_H-M_alt 'C m m m'
_space_group_IT_number 65
_space_group_name_Hall '-C 2 2'
_cell_length_a 5.544
_cell_length_b 32.483
_cell_length_c 4.693
_cell_angle_alpha 90.00
_cell_angle_beta 90.00
_cell_angle_gamma 90.00
loop_
_atom_site_label
_atom_site_type_symbol
_atom_site_fract_x
_atom_site_fract_y
_atom_site_fract_z
Tb1 Tb 0.000 0.160 0.000
Nd1 Nd 0.000 0.000 0.000
Nd2 Nd 0.000 0.079 0.500
Nd3 Nd 0.000 0.264 0.000
Nd4 Nd 0.000 0.417 0.000
Dy1 Dy 0.000 0.342 0.500
Dy2 Dy 0.000 0.500 0.500
```

Run ii
Compound: Tb2Nd7Dy3
Source: the Alexandria database
Functional: PBE
Structure: optimized geometry

Structure (CIF):
```
data_Tb2Nd7Dy3
_space_group_name_H-M_alt 'P 1 2/m 1'
_space_group_IT_number 10
_space_group_name_Hall '-P 2y'
_cell_length_a 6.484
_cell_length_b 3.574
_cell_length_c 17.652
_cell_angle_alpha 90.00
_cell_angle_beta 95.85
_cell_angle_gamma 90.00
loop_
_atom_site_label
_atom_site_type_symbol
_atom_site_fract_x
_atom_site_fract_y
_atom_site_fract_z
Tb1 Tb 0.059 0.000 0.170
Nd1 Nd 0.000 0.500 0.500
Nd2 Nd 0.225 0.000 0.671
Nd3 Nd 0.257 0.000 0.995
Nd4 Nd 0.277 0.500 0.333
Dy1 Dy 0.455 0.500 0.840
Dy2 Dy 0.500 0.000 0.500
```

Most stable: run ii